No. 1
A plane-wave DFT calculation with SCAN was carried out for a crystal of BeTlCr2 relaxed with PBEsol. Values from VASP.

## Properties
For the formation energy, the calculation gives 1.39 eV per formula unit. The calculation puts the energy relative to the lowest polymorph listed for this composition at 0.00 eV/f.u.

Quantum ESPRESSO input file:
```
&SYSTEM
  ibrav = 0, nat = 4, ntyp = 3
/
ATOMIC_SPECIES
Cr 52.00 Cr.upf
Tl 204.38 Tl.upf
Be 9.01 Be.upf
CELL_PARAMETERS angstrom
3.903 0.000 0.000
0.000 3.903 0.000
-1.952 -1.952 3.640
ATOMIC_POSITIONS crystal
Cr 0.000 0.000 0.000
Cr 0.750 0.250 0.500
Tl 0.500 0.500 0.000
Be 0.250 0.750 0.500
```



No. 2
A plane-wave DFT calculation with SCAN was carried out for a crystal of AlCrTe2 relaxed with PBEsol. Values from VASP.

Quantum ESPRESSO input file:
```
&SYSTEM
  ibrav = 0, nat = 4, ntyp = 3
/
ATOMIC_SPECIES
Cr 52.00 Cr.upf
Te 127.60 Te.upf
Al 26.98 Al.upf
CELL_PARAMETERS angstrom
-2.872 0.487 -2.728
2.208 -3.318 0.002
-4.923 -0.879 5.026
ATOMIC_POSITIONS crystal
Cr 0.500 0.000 0.000
Te 0.756 0.512 0.768
Te 0.244 0.488 0.232
Al 0.000 0.000 0.500
```



No. 3
A plane-wave DFT calculation with SCAN was carried out for a crystal of GaHgI2O relaxed with PBEsol. Values from VASP.

Quantum ESPRESSO input file:
```
&SYSTEM
  ibrav = 0, nat = 5, ntyp = 4
/
ATOMIC_SPECIES
I 126.90 I.upf
O 16.00 O.upf
Hg 200.59 Hg.upf
Ga 69.72 Ga.upf
CELL_PARAMETERS angstrom
4.103 0.000 0.000
0.000 5.885 0.000
0.000 0.000 5.885
ATOMIC_POSITIONS crystal
I 0.000 0.000 0.500
I 0.000 0.500 0.000
O 0.500 0.000 0.000
Hg 0.000 0.000 0.000
Ga 0.500 0.500 0.500
```



no.,DFT total energy (eV/atom)
1,-28.02
2,-25.39
3,-32.74